Entry 1:
LiAcPmEu | the Alexandria database | GGA-PBE | optimized geometry; V = 145.2 Å³/cell; ΔE_f = 0.230 eV/atom
1.0
0.000 4.172 4.172
4.172 0.000 4.172
4.172 4.172 0.000
Li Ac Pm Eu
1 1 1 1
Cartesian
0.000 0.000 0.000
4.172 4.172 4.172
2.086 2.086 2.086
6.258 6.258 6.258

Entry 2:
LiAcPrEu | the Alexandria database | GGA-PBE | optimized geometry; V = 147.5 Å³/cell; ΔE_f = 0.219 eV/atom
1.0
0.000 4.194 4.194
4.194 0.000 4.194
4.194 4.194 0.000
Li Ac Pr Eu
1 1 1 1
Cartesian
0.000 0.000 0.000
4.194 4.194 4.194
2.097 2.097 2.097
6.291 6.291 6.291

Entry 3:
LiAcEuSc | the Alexandria database | GGA-PBE | optimized geometry; V = 132.2 Å³/cell; ΔE_f = 0.192 eV/atom
1.0
0.000 4.044 4.044
4.044 0.000 4.044
4.044 4.044 0.000
Li Ac Eu Sc
1 1 1 1
Cartesian
0.000 0.000 0.000
2.022 2.022 2.022
6.065 6.065 6.065
4.044 4.044 4.044

Entry 4:
LiAcSmEu | the Alexandria database | GGA-PBE | optimized geometry; V = 144.5 Å³/cell; ΔE_f = 0.234 eV/atom
1.0
0.000 4.165 4.165
4.165 0.000 4.165
4.165 4.165 0.000
Li Ac Sm Eu
1 1 1 1
Cartesian
0.000 0.000 0.000
4.165 4.165 4.165
6.248 6.248 6.248
2.083 2.083 2.083

Entry 5:
SrLiAcEu | the Alexandria database | GGA-PBE | optimized geometry; V = 165.1 Å³/cell; ΔE_f = 0.163 eV/atom
1.0
0.000 4.354 4.354
4.354 0.000 4.354
4.354 4.354 0.000
Sr Li Ac Eu
1 1 1 1
Cartesian
0.000 0.000 0.000
6.531 6.531 6.531
4.354 4.354 4.354
2.177 2.177 2.177

Entry 6:
LiAcEuTc | the Alexandria database | GGA-PBE | optimized geometry; V = 100.4 Å³/cell; ΔE_f = 0.294 eV/atom
1.0
0.000 3.688 3.688
3.688 0.000 3.688
3.688 3.688 0.000
Li Ac Eu Tc
1 1 1 1
Cartesian
0.000 0.000 0.000
1.844 1.844 1.844
5.533 5.533 5.533
3.688 3.688 3.688

- The lowest ΔE_f belongs to which entry?
  SrLiAcEu

- Which value of ΔE_f does entry 4 give?
  0.234 eV/atom